! ZnCrRu2 (SCAN, single point on PBEsol structure); values from VASP
&SYSTEM
  ibrav = 0, nat = 4, ntyp = 3
/
ATOMIC_SPECIES
Zn 65.41 Zn.upf
Cr 52.00 Cr.upf
Ru 101.07 Ru.upf
CELL_PARAMETERS angstrom
2.878 0.000 0.000
0.000 2.878 0.000
0.000 0.000 6.171
ATOMIC_POSITIONS angstrom
Zn 0.000 0.000 0.000
Cr 0.000 0.000 3.085
Ru 1.439 1.439 1.622
Ru 1.439 1.439 4.548
! - E (eV per atom) = -25.424
! - formation energy from the elements (kcal/mol of atoms) = -0.839
! - space-group type = P4/mmm (123)